(1)
{
  "formula": "Mo3W4",
  "functional": "GGA-PBEsol",
  "state": "relaxed",
  "cell": [[-1.600, 2.422, -1.203], [-2.504, -0.798, 1.724], [5.629, 5.609, 7.908]],
  "species": ["W", "W", "W", "Mo", "Mo", "Mo", "W"],
  "frac_coords": [[0.143, 0.143, 0.287], [0.857, 0.857, 0.713], [0.571, 0.571, 0.143], [0.000, 0.000, 0.000], [0.714, 0.714, 0.429], [0.286, 0.286, 0.571], [0.429, 0.429, 0.857]],
  "e_form_ev_per_atom": -0.001,
  "rho_g_cm3": 15.7
}



(2)
{
  "formula": "NaLuO2",
  "functional": "GGA-PBEsol",
  "state": "relaxed",
  "cell": [[4.478, 0.000, 0.000], [0.000, 4.478, 0.000], [-2.239, -2.239, 4.949]],
  "species": ["Lu", "O", "Na", "Lu", "O", "O", "O", "Na"],
  "frac_coords": [[0.000, 0.000, 0.000], [0.778, 0.778, 0.556], [0.750, 0.250, 0.500], [0.250, 0.750, 0.500], [0.472, 0.972, 0.944], [0.028, 0.528, 0.056], [0.222, 0.222, 0.444], [0.500, 0.500, 0.000]],
  "raw_formation_energy_kcal_per_mol_atoms": -67.23,
  "e_above_lowest_polymorph_mev_per_atom": 29,
  "rho_g_cm3": 7.7
}



(3)
{
  "formula": "CuB3Pd",
  "functional": "GGA-PBEsol",
  "state": "relaxed",
  "cell": [[-3.912, -0.624, 0.693], [0.919, -3.095, 2.398], [0.161, 2.491, 3.153]],
  "species": ["B", "B", "Pd", "B", "Cu"],
  "frac_coords": [[0.000, 0.000, 0.500], [0.000, 0.500, 0.000], [0.000, 0.000, 0.000], [0.500, 0.000, 0.000], [0.500, 0.500, 0.500]],
  "e_form_ev_per_atom": 1.533,
  "rho_g_cm3": 5.2
}



(4)
{
  "formula": "LiTa5",
  "functional": "GGA-PBEsol",
  "state": "relaxed",
  "cell": [[-2.307, -1.225, -0.531], [1.915, -1.816, -4.134], [3.685, -5.907, 4.302]],
  "species": ["Ta", "Ta", "Ta", "Li", "Ta", "Ta"],
  "frac_coords": [[0.343, 0.000, 0.686], [0.770, 0.500, 0.540], [0.434, 0.500, 0.867], [0.009, 0.000, 0.018], [0.102, 0.500, 0.204], [0.676, 0.000, 0.352]],
  "e_above_lowest_polymorph_mev_per_atom": 14,
  "e_form_ev_per_atom": 0.353,
  "rho_g_cm3": 14.3
}



(5)
{
  "formula": "Li2NbS3",
  "functional": "GGA-PBEsol",
  "state": "relaxed",
  "cell": [[5.986, 0.000, 0.028], [2.993, 5.330, 0.014], [2.069, 0.000, 6.058]],
  "species": ["Nb", "Li", "Nb", "S", "S", "Li", "Li", "Li", "S", "S", "S", "S"],
  "frac_coords": [[0.681, 0.639, 0.000], [0.000, 0.000, 0.000], [0.319, 0.361, 0.000], [0.575, 0.342, 0.251], [0.916, 0.658, 0.251], [0.846, 0.309, 0.500], [0.500, 0.000, 0.500], [0.154, 0.691, 0.500], [0.084, 0.342, 0.749], [0.425, 0.658, 0.749], [0.266, 0.000, 0.227], [0.734, 0.000, 0.773]],
  "raw_formation_energy_kcal_per_mol_atoms": -27.04,
  "e_above_lowest_polymorph_mev_per_atom": 19,
  "rho_g_cm3": 3.5
}



(6)
{
  "formula": "TlPPb",
  "functional": "GGA-PBEsol",
  "state": "relaxed",
  "cell": [[4.055, 0.000, 0.000], [-2.027, 3.511, 0.000], [0.000, 0.000, 5.650]],
  "species": ["Pb", "Tl", "P"],
  "frac_coords": [[0.333, 0.667, 0.728], [0.667, 0.333, 0.285], [0.000, 0.000, 0.988]],
  "e_above_lowest_polymorph_mev_per_atom": 0,
  "e_form_ev_per_atom": 0.078,
  "rho_g_cm3": 9.1
}